# CsTiMoO6 (PBE with a Hubbard U, relaxed)
data_CsTiMoO6
_cell_length_a 5.3378
_cell_length_b 5.4385
_cell_length_c 6.4648
_cell_angle_alpha 89.03
_cell_angle_beta 88.20
_cell_angle_gamma 60.79
_symmetry_space_group_name_H-M 'P 1'
_symmetry_Int_Tables_number 1
loop_
_symmetry_equiv_pos_as_xyz
'x,y,z'
loop_
_atom_site_label
_atom_site_type_symbol
_atom_site_fract_x
_atom_site_fract_y
_atom_site_fract_z
_atom_site_occupancy
Cs1 Cs 0.0000 0.0000 0.0000 1
Ti1 Ti 0.6853 0.6338 0.5336 1
Mo1 Mo 0.3196 0.3597 0.4856 1
O1 O 0.0067 0.4123 0.3305 1
O2 O 0.0114 0.5691 0.6863 1
O3 O 0.4056 0.9950 0.6481 1
O4 O 0.4209 0.5790 0.3241 1
O5 O 0.5734 0.4163 0.6862 1
O6 O 0.6042 0.0060 0.3646 1
# * total DFT energy (no corrections): -63.3 eV for the cell shown
# * ρ: 3.780 g/cm3